## AcMnO2 (PBE with a Hubbard U)

Data for crystalline AcMnO2 at its relaxed geometry.

- Calculated volume: 15.406 A^3/atom
- Energy: -7.30 eV per atom
- SG: R-3m
- DOS at the Fermi energy: 1.2 states/eV/cell
- Total magnetic moment: 4.2 μB/f.u.

```
data_AcMnO2
_chemical_formula_sum 'Ac1 Mn1 O2'
_cell_length_a 3.544
_cell_length_b 3.544
_cell_length_c 6.024
_cell_angle_alpha 72.89
_cell_angle_beta 72.89
_cell_angle_gamma 60.00
_symmetry_space_group_name_H-M 'P 1'
_symmetry_Int_Tables_number 1
loop_
_symmetry_equiv_pos_as_xyz
'x,y,z'
loop_
_atom_site_label
_atom_site_fract_x
_atom_site_fract_y
_atom_site_fract_z
O1 0.735 0.735 0.795
O2 0.265 0.265 0.205
Mn1 0.000 0.000 0.000
Ac1 0.500 0.500 0.500
```